A geometry-optimized Al2MoPb structure. Source: Alexandria via LeMat-Bulk, functional PBE-GGA.

Values from the calculation:
DOS(E_F) = 1.51 states/eV/f.u.
Total moment = 0.00 μB per cell
Calculated volume = 18.27 Å³/atom
Raw total energy = -21.4 eV per cell

Cell: 3.543 3.542 5.824 Å, 90.00 90.00 90.00°
Fractional coordinates of all 4 atoms:
Pb 0.500 0.500 0.750
Mo 0.500 0.500 0.250
Al 0.000 0.000 0.037
Al 0.000 0.000 0.463